Computed, not measured: crystalline SnAu at its relaxed geometry at the PBE level of DFT.

Lattice parameters (Å, degrees): 8.1936 8.1936 5.7217 90.00 90.00 90.00
Element x y z (fractional)
Sn (0.2875, 0.9413, 0.0000)
Sn (0.7875, 0.4413, 0.5000)
Sn (0.9413, 0.7125, 0.0000)
Sn (0.5587, 0.7875, 0.5000)
Sn (0.4413, 0.2125, 0.5000)
Sn (0.7125, 0.0587, 0.0000)
Sn (0.0587, 0.2875, 0.0000)
Sn (0.2125, 0.5587, 0.5000)
Au (0.4336, 0.2638, 0.0000)
Au (0.0664, 0.2362, 0.5000)
Au (0.5664, 0.7362, 0.0000)
Au (0.7638, 0.0664, 0.5000)
Au (0.7362, 0.4336, 0.0000)
Au (0.2638, 0.5664, 0.0000)
Au (0.2362, 0.9336, 0.5000)
Au (0.9336, 0.7638, 0.5000)

Output
Density ... 10.92 g cm⁻³
Total moment ... 0.0 μB per cell
E_form ... -0.094 eV/atom
SG ... No. 87

=====

Computed, not measured: crystalline SnAu at its relaxed geometry at the PBE level of DFT.

Lattice parameters (Å, degrees): 5.7066 5.7854 11.0260 90.00 90.00 90.00
Element x y z (fractional)
Sn (0.1631, 0.0721, 0.5483)
Sn (0.8369, 0.5721, 0.9517)
Sn (0.3369, 0.9279, 0.0483)
Sn (0.7033, 0.1086, 0.7480)
Sn (0.2967, 0.6086, 0.7520)
Sn (0.2033, 0.3914, 0.2520)
Sn (0.7967, 0.8914, 0.2480)
Sn (0.6631, 0.4279, 0.4517)
Au (0.3312, 0.4448, 0.9995)
Au (0.2174, 0.0985, 0.8088)
Au (0.7174, 0.4015, 0.1912)
Au (0.2826, 0.9015, 0.3088)
Au (0.6688, 0.9448, 0.5005)
Au (0.7826, 0.5985, 0.6912)
Au (0.8312, 0.0552, 0.0005)
Au (0.1688, 0.5552, 0.4995)

Output
Density ... 11.52 g cm⁻³
Total moment ... 0.0 μB per cell
E_form ... -0.141 eV/atom
SG ... No. 19

=====

Computed, not measured: crystalline Sn3Au at its relaxed geometry at the PBE level of DFT.

Lattice parameters (Å, degrees): 4.0980 4.0980 6.9317 107.19 107.19 90.00
Element x y z (fractional)
Sn (0.7838, 0.7838, 0.5677)
Sn (0.5000, 0.5000, 0.0000)
Sn (0.2162, 0.2162, 0.4323)
Au (0.0000, 0.0000, 0.0000)

Output
ΔE to the lowest computed polymorph ... 14.6 meV per atom
Density ... 8.69 g cm⁻³
Total moment ... 0.0 μB per cell
E_form ... -0.056 eV/atom
SG ... No. 139

=====

Computed, not measured: crystalline SnAu5 at its relaxed geometry at the PBE level of DFT.

Lattice parameters (Å, degrees): 5.5952 5.5952 5.5952 56.67 56.67 56.67
Element x y z (fractional)
Au (0.5000, 0.8224, 0.1776)
Au (0.1776, 0.5000, 0.8224)
Au (0.6709, 0.6709, 0.6709)
Au (0.8224, 0.1776, 0.5000)
Au (0.3291, 0.3291, 0.3291)
Sn (0.0000, 0.0000, 0.0000)

Output
Density ... 16.03 g cm⁻³
Total moment ... 0.0 μB per cell
E_form ... -0.042 eV/atom
SG ... No. 155

=====

Computed, not measured: crystalline SnAu5 at its relaxed geometry at the PBE level of DFT.

Lattice parameters (Å, degrees): 4.1607 4.3189 6.7062 108.78 90.00 90.00
Element x y z (fractional)
Au (0.5000, 0.5000, 0.0000)
Au (0.5000, 0.8287, 0.6574)
Au (0.0000, 0.3342, 0.6685)
Au (0.0000, 0.6658, 0.3315)
Au (0.5000, 0.1713, 0.3426)
Sn (0.0000, 0.0000, 0.0000)

Output
Density ... 16.06 g cm⁻³
Total moment ... 0.0 μB per cell
E_form ... -0.017 eV/atom
SG ... No. 65

=====

Computed, not measured: crystalline SnAu at its relaxed geometry at the PBE level of DFT.

Lattice parameters (Å, degrees): 6.2582 6.2582 6.2582 90.00 90.00 90.00
Element x y z (fractional)
Au (0.5000, 0.5000, 0.0000)
Au (0.0000, 0.5000, 0.5000)
Au (0.0000, 0.0000, 0.0000)
Au (0.5000, 0.0000, 0.5000)
Sn (0.7500, 0.7500, 0.2500)
Sn (0.7500, 0.2500, 0.7500)
Sn (0.2500, 0.2500, 0.2500)
Sn (0.2500, 0.7500, 0.7500)

Output
Density ... 8.55 g cm⁻³
Total moment ... 0.0 μB per cell
E_form ... 0.097 eV/atom
SG ... No. 216

=====

Computed, not measured: crystalline SnAu at its relaxed geometry at the PBE level of DFT.

Lattice parameters (Å, degrees): 9.1972 9.1972 3.9578 90.00 90.00 120.00
Element x y z (fractional)
Sn (0.1494, 0.8072, 0.2500)
Sn (0.1928, 0.3422, 0.2500)
Sn (0.3422, 0.1494, 0.7500)
Sn (0.8072, 0.6579, 0.7500)
Sn (0.8506, 0.1928, 0.7500)
Sn (0.6579, 0.8506, 0.2500)
Au (0.8713, 0.4598, 0.2500)
Au (0.5402, 0.4115, 0.2500)
Au (0.5885, 0.1287, 0.2500)
Au (0.1287, 0.5402, 0.7500)
Au (0.4115, 0.8713, 0.7500)
Au (0.4598, 0.5885, 0.7500)

Output
Density ... 10.85 g cm⁻³
Total moment ... 0.0 μB per cell
E_form ... -0.057 eV/atom
SG ... No. 176

=====

Computed, not measured: crystalline SnAu at its relaxed geometry at the PBE level of DFT.

Lattice parameters (Å, degrees): 4.0718 4.1311 5.7831 90.00 110.61 90.00
Element x y z (fractional)
Au (0.5964, 0.7498, 0.1928)
Au (0.4036, 0.2502, 0.8072)
Sn (0.8592, 0.7502, 0.7183)
Sn (0.1408, 0.2498, 0.2817)

Output
Density ... 11.51 g cm⁻³
Total moment ... 0.0 μB per cell
E_form ... -0.151 eV/atom
SG ... No. 63

=====

Computed, not measured: crystalline Sn9Au4 at its relaxed geometry at the PBE level of DFT.

Lattice parameters (Å, degrees): 9.8328 9.8328 8.7890 68.65 68.65 104.80
Element x y z (fractional)
Au (0.9351, 0.3093, 0.1392)
Au (0.4083, 0.1318, 0.5458)
Au (0.7494, 0.7494, 0.3726)
Au (0.1318, 0.4083, 0.5458)
Au (0.7497, 0.7497, 0.0332)
Au (0.3093, 0.9351, 0.1392)
Au (0.9920, 0.9920, 0.6082)
Au (0.3951, 0.3951, 0.9186)
Sn (0.5126, 0.9546, 0.7793)
Sn (0.2249, 0.5879, 0.9779)
Sn (0.9546, 0.5126, 0.7793)
Sn (0.6197, 0.3931, 0.5756)
Sn (0.6398, 0.0117, 0.3513)
Sn (0.4178, 0.6790, 0.1841)
Sn (0.0860, 0.8482, 0.9259)
Sn (0.2974, 0.2974, 0.3044)
Sn (0.0393, 0.0393, 0.2437)
Sn (0.6978, 0.6978, 0.7428)
Sn (0.5879, 0.2249, 0.9779)
Sn (0.8702, 0.2326, 0.5094)
Sn (0.6790, 0.4178, 0.1841)
Sn (0.0117, 0.6398, 0.3513)
Sn (0.8482, 0.0860, 0.9259)
Sn (0.3931, 0.6197, 0.5756)
Sn (0.2166, 0.2166, 0.7997)
Sn (0.2326, 0.8702, 0.5094)

Output
Density ... 9.35 g cm⁻³
Total moment ... 0.0 μB per cell
E_form ... -0.047 eV/atom
SG ... No. 8

=====

Computed, not measured: crystalline SnAu at its relaxed geometry at the PBE level of DFT.

Lattice parameters (Å, degrees): 4.4081 4.4081 5.6783 90.00 90.00 120.00
Element x y z (fractional)
Sn (0.3333, 0.6667, 0.2500)
Sn (0.6667, 0.3333, 0.7500)
Au (0.0000, 0.0000, 0.5000)
Au (0.0000, 0.0000, 0.0000)

Output
Density ... 10.97 g cm⁻³
Total moment ... 0.0 μB per cell
E_form ... -0.180 eV/atom
SG ... No. 194

=====

Computed, not measured: crystalline SnAu at its relaxed geometry at the PBE level of DFT.

Lattice parameters (Å, degrees): 8.5189 8.5189 8.5189 90.00 90.00 90.00
Element x y z (fractional)
Au (0.6692, 0.6692, 0.3308)
Au (0.6692, 0.3308, 0.6692)
Au (0.8308, 0.1692, 0.1692)
Au (0.1692, 0.1692, 0.8308)
Au (0.8308, 0.8308, 0.8308)
Au (0.1692, 0.8308, 0.1692)
Au (0.3308, 0.3308, 0.3308)
Au (0.3308, 0.6692, 0.6692)
Sn (0.3498, 0.6502, 0.3498)
Sn (0.8498, 0.8498, 0.1502)
Sn (0.6502, 0.6502, 0.6502)
Sn (0.1502, 0.8498, 0.8498)
Sn (0.6502, 0.3498, 0.3498)
Sn (0.1502, 0.1502, 0.1502)
Sn (0.3498, 0.3498, 0.6502)
Sn (0.8498, 0.1502, 0.8498)

Output
Density ... 6.78 g cm⁻³
Total moment ... 0.0 μB per cell
E_form ... 0.110 eV/atom
SG ... No. 217

=====

Computed, not measured: crystalline Sn2Au3 at its relaxed geometry at the PBE level of DFT.

Lattice parameters (Å, degrees): 7.0074 7.0074 6.8461 59.22 59.22 60.00
Element x y z (fractional)
Au (0.0126, 0.2500, 0.2500)
Au (0.4874, 0.0126, 0.2500)
Au (0.9874, 0.7500, 0.7500)
Au (0.2500, 0.4874, 0.2500)
Au (0.5126, 0.9874, 0.7500)
Au (0.7500, 0.5126, 0.7500)
Sn (0.6009, 0.6009, 0.1972)
Sn (0.1009, 0.1009, 0.6972)
Sn (0.3991, 0.3991, 0.8028)
Sn (0.8991, 0.8991, 0.3028)

Output
Density ... 11.71 g cm⁻³
Total moment ... 0.0 μB per cell
E_form ... -0.073 eV/atom
SG ... No. 167

=====

- Which of these has the lowest E_form?
  number 10